Record 1
Entry from Alexandria: an optimized crystal structure of Ce2GaPb (PBE).

formation energy	-1.61	eV/f.u.
distance to the lowest polymorph of the same formula	0.036	eV/atom
M_tot	1.7	Bohr magnetons per cell

Unit cell a=4.5054 b=4.8280 c=4.8280 alpha=90.00 beta=90.00 gamma=90.00
Site moments in Bohr magnetons follow the coordinates.
Atoms (fractional coordinates):
Pb: 0.5000 0.5000 0.5000  -0.02
Ga: 0.5000 0.0000 0.0000  -0.01
Ce: 0.0000 0.0000 0.5000  0.69
Ce: 0.0000 0.5000 0.0000  0.69

---

Record 2
Entry from Alexandria: an optimized crystal structure of Ce7Ga3Pb (PBE).

formation energy	-2.49	eV/f.u.
M_tot	6.3	Bohr magnetons per cell

Unit cell a=5.8871 b=7.8994 c=7.8994 alpha=92.83 beta=112.08 gamma=112.08
Site moments in Bohr magnetons follow the coordinates.
Atoms (fractional coordinates):
Ce: 0.1510 0.1498 0.1498  0.67
Ce: 0.3433 0.0766 0.6106  0.79
Ce: 0.6567 0.3894 0.9234  0.79
Ce: 0.3433 0.6106 0.0766  0.79
Ce: 0.0000 0.5000 0.5000  0.75
Ce: 0.6567 0.9234 0.3894  0.79
Ce: 0.8490 0.8502 0.8502  0.67
Ga: 0.0000 0.7628 0.2372  -0.03
Ga: 0.5000 0.0000 0.0000  -0.02
Ga: 0.0000 0.2372 0.7628  -0.03
Pb: 0.5000 0.5000 0.5000  0.00

---

Record 3
Entry from Alexandria: an optimized crystal structure of Ce3GaPb3 (PBE).

formation energy	-1.50	eV/f.u.
M_tot	6.2	Bohr magnetons per cell

Unit cell a=5.8230 b=8.7567 c=8.7567 alpha=120.00 beta=90.00 gamma=90.00
Site moments in Bohr magnetons follow the coordinates.
Atoms (fractional coordinates):
Ce: 0.7500 0.6370 0.5177  0.85
Ce: 0.7500 0.4823 0.1193  0.85
Ce: 0.7500 0.8807 0.3630  0.85
Ce: 0.2500 0.3630 0.4823  0.85
Ce: 0.2500 0.5177 0.8807  0.85
Ce: 0.2500 0.1193 0.6370  0.85
Ga: 0.2500 0.6667 0.3333  -0.02
Ga: 0.7500 0.3333 0.6667  -0.02
Pb: 0.2500 0.8115 0.7370  0.01
Pb: 0.2500 0.2630 0.0744  0.01
Pb: 0.2500 0.9256 0.1885  0.01
Pb: 0.7500 0.1885 0.2630  0.01
Pb: 0.7500 0.7370 0.9256  0.01
Pb: 0.7500 0.0744 0.8115  0.01

---

Record 4
Entry from Alexandria: an optimized crystal structure of Ce4GaPb (PBE).

formation energy	-1.29	eV/f.u.
distance to the lowest polymorph of the same formula	0.105	eV/atom
M_tot	1.8	Bohr magnetons per cell

Unit cell a=5.3583 b=6.0479 c=6.0479 alpha=94.48 beta=63.71 gamma=63.71
Site moments in Bohr magnetons follow the coordinates.
Atoms (fractional coordinates):
Ce: 0.7582 0.5881 0.8959  0.37
Ce: 0.7582 0.8959 0.5881  0.37
Ce: 0.2418 0.4119 0.1041  0.37
Ce: 0.2418 0.1041 0.4119  0.37
Ga: 0.5000 0.5000 0.5000  -0.01
Pb: 0.0000 0.0000 0.0000  -0.01

---

Record 5
Entry from Alexandria: an optimized crystal structure of Ce8Ga2Pb (PBE).

formation energy	-2.13	eV/f.u.
M_tot	5.5	Bohr magnetons per cell

Unit cell a=5.6389 b=8.3961 c=8.0086 alpha=58.39 beta=80.50 gamma=71.65
Site moments in Bohr magnetons follow the coordinates.
Atoms (fractional coordinates):
Ce: 0.9218 0.0729 0.2119  0.47
Ce: 0.9218 0.2848 0.7881  0.47
Ce: 0.3304 0.4143 0.0000  0.48
Ce: 0.5000 0.7580 0.4841  0.80
Ce: 0.5000 0.2420 0.5159  0.80
Ce: 0.6696 0.5857 0.0000  0.48
Ce: 0.0782 0.7152 0.2119  0.47
Ce: 0.0782 0.9271 0.7881  0.47
Ga: 0.0000 0.3116 0.3769  -0.01
Ga: 0.0000 0.6884 0.6231  -0.01
Pb: 0.5000 0.0000 0.0000  -0.01

---

Record 6
Entry from Alexandria: an optimized crystal structure of Ce3GaPb (PBE).

formation energy	-1.19	eV/f.u.
M_tot	9.2	Bohr magnetons per cell

Unit cell a=6.2860 b=9.9658 c=9.9854 alpha=109.67 beta=90.00 gamma=90.00
Site moments in Bohr magnetons follow the coordinates.
Atoms (fractional coordinates):
Ce: 0.2468 0.3439 0.6525  0.87
Ce: 0.2532 0.8439 0.1525  0.87
Ce: 0.5096 0.2345 0.2640  0.35
Ce: 0.0096 0.2655 0.2360  0.35
Ce: 0.4904 0.7655 0.7360  0.35
Ce: 0.7532 0.6561 0.3475  0.87
Ce: 0.7019 0.0787 0.4208  0.60
Ce: 0.2981 0.9213 0.5792  0.60
Ce: 0.7468 0.1561 0.8475  0.87
Ce: 0.9904 0.7345 0.7640  0.35
Ce: 0.7981 0.5787 0.9208  0.60
Ce: 0.2019 0.4213 0.0792  0.60
Ga: 0.6871 0.4052 0.0991  0.00
Ga: 0.1871 0.0948 0.4009  0.00
Ga: 0.3129 0.5948 0.9009  0.00
Ga: 0.8129 0.9052 0.5991  0.00
Pb: 0.2528 0.5706 0.4294  -0.03
Pb: 0.7472 0.4294 0.5706  -0.03
Pb: 0.2472 0.0706 0.9294  -0.03
Pb: 0.7528 0.9294 0.0706  -0.03

---

Record 7
Entry from Alexandria: an optimized crystal structure of Ce4Ga2Pb (PBE).

formation energy	-1.53	eV/f.u.
M_tot	0.3	Bohr magnetons per cell

Unit cell a=4.4113 b=4.4113 c=12.1056 alpha=79.50 beta=79.50 gamma=60.00
Site moments in Bohr magnetons follow the coordinates.
Atoms (fractional coordinates):
Ce: 0.6858 0.6858 0.9425  -0.36
Ce: 0.8881 0.8881 0.3356  0.50
Ce: 0.3142 0.3142 0.0575  -0.36
Ce: 0.1119 0.1119 0.6644  0.50
Ga: 0.6004 0.6004 0.1988  0.01
Ga: 0.3996 0.3996 0.8012  0.01
Pb: 0.5000 0.5000 0.5000  -0.02

---

Record 8
Entry from Alexandria: an optimized crystal structure of Ce5Ga2Pb (PBE).

formation energy	-2.72	eV/f.u.
distance to the lowest polymorph of the same formula	0.000	eV/atom
M_tot	11.0	Bohr magnetons per cell

Unit cell a=8.2016 b=8.2016 c=8.7388 alpha=117.99 beta=117.99 gamma=90.00
Site moments in Bohr magnetons follow the coordinates.
Atoms (fractional coordinates):
Ce: 0.5207 0.6764 0.6972  0.84
Ce: 0.8236 0.9793 0.3028  0.84
Ce: 0.0000 0.0000 0.0000  0.82
Ce: 0.5000 0.5000 0.0000  0.82
Ce: 0.1764 0.0207 0.6972  0.84
Ce: 0.6764 0.1764 0.6972  0.84
Ce: 0.0207 0.5207 0.6972  0.84
Ce: 0.3236 0.8236 0.3028  0.84
Ce: 0.9793 0.4793 0.3028  0.84
Ce: 0.4793 0.3236 0.3028  0.84
Ga: 0.1227 0.3773 0.0000  -0.03
Ga: 0.6227 0.1227 0.0000  -0.03
Ga: 0.3773 0.8773 0.0000  -0.03
Ga: 0.8773 0.6227 0.0000  -0.03
Pb: 0.7500 0.7500 0.5000  -0.04
Pb: 0.2500 0.2500 0.5000  -0.04